Crystalline LaZn2O at its relaxed geometry. Source: Alexandria, functional PBE.

Cell lengths 8.6193, 8.6193, 4.5941 Å; angles 90.00, 90.00, 90.00 degrees
Space group I-42d (No. 122)
Asymmetric unit:
La 0.0000 0.0000 0.0000 x4
Zn 0.2012 0.2500 0.6250 x8
O 0.0000 0.0000 0.5000 x4

Calculated values
- DFT total energy (eV per cell) = -64.65
- magnetic moment (μB/cell) = 0.000
- formation energy without anion corrections (eV/f.u.) = -3.7